CsScCoRh2 | PBE-GGA | optimized geometry

```
CsScCoRh2
1.0
-2.2854 0.6731 4.1675
-1.4422 -4.4830 -0.0669
3.9573 -1.3086 2.3815
Cs Co Rh Sc
1 1 2 1
Cartesian
0.1149 -2.5593 3.2411
0.0000 0.0000 0.0000
1.9787 -0.6543 1.1908
-1.1427 0.3365 2.0838
-0.7211 -2.2415 -0.0334
```

Computed properties:
volume	108.5	Å³/cell
formation energy	612	meV/atom
space group	P4/mmm, No. 123
mass density	6.77	g cm⁻³